## NdGdHgRh (PBE)

Data for NdGdHgRh after structural relaxation.

Unit cell a=5.1599 b=5.1599 c=5.1599 alpha=60.00 beta=60.00 gamma=60.00
Element x y z (fractional)
Nd 0.0000 0.0000 0.0000
Gd 0.5000 0.5000 0.5000
Hg 0.2500 0.2500 0.2500
Rh 0.7500 0.7500 0.7500

Summary:
DFT formation energy: -0.55 eV/atom
DFT total energy: -7.1715 eV/atom
symmetry: F-43m (216)

---

## LiPu3Sc2Se6 (PBE)

Data for LiPu3Sc2Se6 after structural relaxation.

Unit cell a=8.9733 b=8.9733 c=8.0268 alpha=102.06 beta=102.06 gamma=25.91
Element x y z (fractional)
Li 0.0000 0.0000 0.0000
Pu 0.0000 0.0000 0.5000
Pu 0.3351 0.3351 0.1629
Pu 0.6649 0.6649 0.8371
Sc 0.3333 0.3333 0.6625
Sc 0.6667 0.6667 0.3375
Se 0.1642 0.1642 0.0982
Se 0.1711 0.1711 0.5762
Se 0.4932 0.4932 0.7591
Se 0.5068 0.5068 0.2409
Se 0.8289 0.8289 0.4238
Se 0.8358 0.8358 0.9018

Summary:
raw formation energy: -1.5224 eV per atom
DFT total energy: -8.0624 eV/atom
symmetry: C2/m (12)

---

## TaCr3Cu2S8 (PBE)

Data for TaCr3Cu2S8 after structural relaxation.

Unit cell a=5.9706 b=3.4524 c=12.4472 alpha=90.00 beta=99.76 gamma=90.00
Element x y z (fractional)
Ta 0.0000 0.0000 0.0000
Cr 0.4494 0.5000 0.9987
Cr 0.4669 0.0000 0.4926
Cr 0.9440 0.5000 0.5111
Cu 0.5199 0.0000 0.7118
Cu 0.8905 0.5000 0.2922
S 0.0843 0.0000 0.3944
S 0.0968 0.5000 0.8759
S 0.3264 0.5000 0.6079
S 0.3521 0.0000 0.1190
S 0.5862 0.5000 0.3878
S 0.5888 0.0000 0.8932
S 0.8246 0.0000 0.6154
S 0.8309 0.5000 0.1102

Summary:
ΔE to the lowest computed polymorph: 58 meV per atom
raw formation energy: -0.6545 eV per atom
DFT total energy: -6.5070 eV/atom
symmetry: Pm (6)

---

## TbDy4Cd (PBE)

Data for TbDy4Cd after structural relaxation.

Unit cell a=3.5594 b=3.5594 c=14.1444 alpha=90.00 beta=90.00 gamma=90.00
Element x y z (fractional)
Tb 0.0000 0.0000 0.0000
Dy 0.0000 0.0000 0.3529
Dy 0.0000 0.0000 0.6471
Dy 0.5000 0.5000 0.1770
Dy 0.5000 0.5000 0.8230
Cd 0.5000 0.5000 0.5000

Summary:
DFT formation energy: -0.09 eV/atom
ΔE to the lowest computed polymorph: 0 meV per atom
DFT total energy: -4.0831 eV/atom
symmetry: P4/mmm (123)